18
Lattice="7.5214 -0.0070 -0.0049 3.7084 6.5436 -0.0049 3.7084 2.1586 6.1773" Properties=species:S:1:pos:R:3 comment="Cs2V3CuF12 | the Alexandria database | PBE+U | relaxed" n_ef_per_ev_fu=8.1 e_tot_ev_per_cell=-99.148 vol_a3_per_atom=16.908 pbc="T T T"
Cs 9.3428 5.4383 3.8573
Cs 5.5954 3.2570 2.3102
V 3.7607 -0.0035 -0.0025
V 1.8542 3.2718 -0.0025
V 1.8542 1.0793 3.0887
Cu 0.0000 0.0000 0.0000
F 6.9005 4.0166 5.6866
F 11.6116 6.7589 2.1507
F 9.4423 7.9909 5.6679
F 9.2292 2.6941 1.9109
F 11.6116 4.2642 5.6679
F 6.9005 6.6947 1.9109
F 8.0377 4.6786 0.4809
F 3.3266 1.9363 4.0167
F 5.4958 0.7043 0.4996
F 5.7090 6.0012 4.2566
F 3.3266 4.4310 0.4996
F 8.0377 2.0006 4.2566

=====

18
Lattice="-7.2660 -3.0882 0.6165 -1.8223 -7.6917 0.4778 -3.0062 -3.7445 6.2971" Properties=species:S:1:pos:R:3 comment="Cs2VCu3F12 | the Alexandria database | PBE+U | relaxed" n_ef_per_ev_fu=2.4 e_tot_ev_per_cell=-83.679 vol_a3_per_atom=16.549 pbc="T T T"
Cs -7.4296 -8.9223 4.5405
Cs -4.6649 -5.6021 2.8509
V 0.0000 0.0000 0.0000
Cu -3.6330 -1.5441 0.3083
Cu -0.9111 -3.8459 0.2389
Cu -1.5031 -1.8723 3.1485
F -5.6828 -6.9058 6.1676
F -9.3189 -11.1081 2.9374
F -6.6848 -11.5140 6.4500
F -8.2565 -6.5092 2.7355
F -10.0510 -8.6673 6.5357
F -4.9676 -9.2906 2.6517
F -6.4116 -7.6186 1.2238
F -2.7755 -3.4162 4.4540
F -5.4096 -3.0104 0.9414
F -3.8379 -8.0152 4.6559
F -2.0435 -5.8570 0.8557
F -7.1269 -5.2338 4.7397

=====

18
Lattice="8.1476 0.0000 0.0000 0.0000 7.3416 0.0000 -4.0738 -3.6708 6.0628" Properties=species:S:1:pos:R:3 comment="CsCuWF6 | the Alexandria database | PBE+U | relaxed" e_tot_ev_per_cell=-89.671 vol_a3_per_atom=20.147 pbc="T T T"
Cs 4.0738 1.8354 5.2084
Cs 0.0000 1.8354 0.8544
Cu 4.0738 3.6708 0.0000
Cu 4.0738 0.0000 0.0000
W 2.0369 -1.8354 3.0314
W -2.0369 -1.8354 3.0314
F 0.0000 1.8354 5.5912
F 4.0738 5.5062 2.4991
F 6.5065 -0.4502 1.6699
F 1.6410 4.1210 1.6699
F 1.6410 -0.4502 1.6699
F 6.5065 4.1210 1.6699
F 4.0738 1.8354 0.4716
F 0.0000 -1.8354 3.5637
F -2.4328 4.1210 4.3929
F 2.4328 -0.4502 4.3929
F 2.4328 4.1210 4.3929
F -2.4328 -0.4502 4.3929